8
Lattice="-3.8366 3.8366 3.1121 3.8366 -3.8366 3.1121 3.8366 3.8366 -3.1121" Properties=species:S:1:pos:R:3 comment="YZrGa2 PBE optimized geometry" e_above_lowest_polymorph_ev_per_fu=1.34 space_group="I-42d (122)" pbc="T T T"
Y 0.0000 0.0000 0.0000
Y 0.0000 3.8366 1.5560
Zr 3.8366 0.0000 1.5560
Zr 0.0000 0.0000 3.1121
Ga 1.9183 2.0229 -0.7780
Ga 5.6503 1.9183 0.7780
Ga 1.9183 1.8137 2.3340
Ga -1.8137 1.9183 3.8901


10
Lattice="7.3544 0.0000 0.0000 0.0000 7.3544 0.0000 0.0000 0.0000 4.7875" Properties=species:S:1:pos:R:3 comment="Y2Zr2Ga PBE optimized geometry" space_group="P4/mbm (127)" pbc="T T T"
Y 1.1857 2.4915 0.0000
Y 2.4915 6.1687 0.0000
Y 4.8628 1.1857 0.0000
Y 6.1687 4.8628 0.0000
Zr 1.0490 4.7261 2.3938
Zr 2.6282 1.0490 2.3938
Zr 4.7261 6.3054 2.3938
Zr 6.3054 2.6282 2.3938
Ga 0.0000 0.0000 2.3938
Ga 3.6772 3.6772 2.3938


6
Lattice="4.8584 -3.0193 0.0000 4.8584 3.0193 0.0000 -3.9371 0.0000 4.7904" Properties=species:S:1:pos:R:3 comment="YZrGa PBE optimized geometry" e_above_lowest_polymorph_ev_per_fu=0.27 space_group="Cm (8)" pbc="T T T"
Y 0.0000 0.0000 0.0000
Y -0.7570 0.0000 3.3882
Zr 2.4279 0.0000 3.7004
Zr 4.8888 0.0000 1.7203
Ga 2.4074 1.4987 1.2649
Ga 2.4074 -1.4987 1.2649


DFT total energy readings, ordered: -21.80, -33.30, -19.16 eV per formula unit
E_form readings, ordered: -0.1844, -0.0497, -0.3743 eV per atom
Total moment readings, ordered: 0.18, 0.00, 0.00 μB/f.u.